No. 1
Crystalline Rh3BrF at its relaxed geometry. Source: the Alexandria database, functional GGA-PBE.

Values from the calculation:
Polymorph energy (0 for the lowest one) (meV per atom): 167
Spin magnetization (μB per atom): 0.451
Space-group type: Pm-3m, No. 221
Total energy (eV/cell): -20.37
Formation energy (no corrections) (eV per formula unit): 5.230
Density (g/cm3): 6.70
Crystal system: cubic

Cell: 4.6571 4.6571 4.6571 Å, 90.00 90.00 90.00°
Element x y z (fractional)
1 Rh 0.0000 0.0000 0.5000
2 Rh 0.0000 0.5000 0.0000
3 Rh 0.5000 0.0000 0.0000
4 Br 0.0000 0.0000 0.0000
5 F 0.5000 0.5000 0.5000

No. 2
Crystalline RhBrF at its relaxed geometry. Source: the Alexandria database, functional GGA-PBE.

Values from the calculation:
Spin magnetization (μB per atom): 0.000
Space-group type: C2/m, No. 12
Total energy (eV/cell): -50.56
Formation energy (no corrections) (eV per formula unit): -1.745
Density (g/cm3): 5.70
Crystal system: monoclinic

Cell: 11.4409 3.6436 6.0090 Å, 90.00 110.21 90.00°
Element x y z (fractional)
1 Rh 0.2473 0.0000 0.2489
2 Rh 0.2527 0.5000 0.7511
3 Rh 0.7473 0.5000 0.2489
4 Rh 0.7527 0.0000 0.7511
5 Br 0.1194 0.5000 0.3214
6 Br 0.3806 0.0000 0.6786
7 Br 0.6194 0.0000 0.3214
8 Br 0.8806 0.5000 0.6786
9 F 0.1631 0.0000 0.8580
10 F 0.3369 0.5000 0.1420
11 F 0.6631 0.5000 0.8580
12 F 0.8369 0.0000 0.1420

No. 3
Crystalline RhBrF3 at its relaxed geometry. Source: the Alexandria database, functional GGA-PBE.

Values from the calculation:
Polymorph energy (0 for the lowest one) (meV per atom): 1310
Spin magnetization (μB per atom): 0.409
Space-group type: Pm-3m, No. 221
Total energy (eV/cell): -13.65
Formation energy (no corrections) (eV per formula unit): 0.992
Density (g/cm3): 4.36
Crystal system: cubic

Cell: 4.5034 4.5034 4.5034 Å, 90.00 90.00 90.00°
Element x y z (fractional)
1 Rh 0.0000 0.0000 0.0000
2 Br 0.5000 0.5000 0.5000
3 F 0.0000 0.5000 0.5000
4 F 0.5000 0.0000 0.5000
5 F 0.5000 0.5000 0.0000

No. 4
Crystalline Rh3BrF at its relaxed geometry. Source: the Alexandria database, functional GGA-PBE.

Values from the calculation:
Polymorph energy (0 for the lowest one) (meV per atom): 0
Spin magnetization (μB per atom): 1.034
Space-group type: Pm-3m, No. 221
Total energy (eV/cell): -21.20
Formation energy (no corrections) (eV per formula unit): 4.395
Density (g/cm3): 7.72
Crystal system: cubic

Cell: 4.4431 4.4431 4.4431 Å, 90.00 90.00 90.00°
Element x y z (fractional)
1 Rh 0.0000 0.0000 0.5000
2 Rh 0.0000 0.5000 0.0000
3 Rh 0.5000 0.0000 0.0000
4 Br 0.5000 0.5000 0.5000
5 F 0.0000 0.0000 0.0000

No. 5
Crystalline RhBr3F at its relaxed geometry. Source: the Alexandria database, functional GGA-PBE.

Values from the calculation:
Polymorph energy (0 for the lowest one) (meV per atom): 0
Spin magnetization (μB per atom): 0.000
Space-group type: P2/c, No. 13
Total energy (eV/cell): -67.62
Formation energy (no corrections) (eV per formula unit): -2.664
Density (g/cm3): 3.60
Crystal system: monoclinic

Cell: 7.1636 6.8836 14.1564 Å, 90.00 107.13 90.00°
Element x y z (fractional)
1 Rh 0.0013 0.1011 0.1192
2 Rh 0.0013 0.8989 0.6192
3 Rh 0.9987 0.1011 0.3808
4 Rh 0.9987 0.8989 0.8808
5 Br 0.0271 0.4474 0.0909
6 Br 0.0271 0.5526 0.5909
7 Br 0.2458 0.1649 0.2884
8 Br 0.2458 0.8351 0.7884
9 Br 0.2488 0.0085 0.5377
10 Br 0.2488 0.9915 0.0377
11 Br 0.7512 0.0085 0.9623
12 Br 0.7512 0.9915 0.4623
13 Br 0.7542 0.1649 0.2116
14 Br 0.7542 0.8351 0.7116
15 Br 0.9729 0.4474 0.4091
16 Br 0.9729 0.5526 0.9091
17 F 0.0050 0.1710 0.8435
18 F 0.0050 0.8290 0.3435
19 F 0.9950 0.1710 0.6565
20 F 0.9950 0.8290 0.1565

No. 6
Crystalline RhBr3F at its relaxed geometry. Source: the Alexandria database, functional GGA-PBE.

Values from the calculation:
Polymorph energy (0 for the lowest one) (meV per atom): 611
Spin magnetization (μB per atom): 0.452
Space-group type: Pm-3m, No. 221
Total energy (eV/cell): -13.85
Formation energy (no corrections) (eV per formula unit): 0.389
Density (g/cm3): 4.73
Crystal system: cubic

Cell: 5.0264 5.0264 5.0264 Å, 90.00 90.00 90.00°
Element x y z (fractional)
1 Rh 0.0000 0.0000 0.0000
2 Br 0.0000 0.0000 0.5000
3 Br 0.0000 0.5000 0.0000
4 Br 0.5000 0.0000 0.0000
5 F 0.5000 0.5000 0.5000

No. 7
Crystalline Rh2BrF at its relaxed geometry. Source: the Alexandria database, functional GGA-PBE.

Values from the calculation:
Polymorph energy (0 for the lowest one) (meV per atom): 0
Spin magnetization (μB per atom): 0.000
Space-group type: Fm-3m, No. 225
Total energy (eV/cell): -70.34
Formation energy (no corrections) (eV per formula unit): 0.663
Density (g/cm3): 8.90
Crystal system: cubic

Cell: 6.1045 6.1045 6.1045 Å, 90.00 90.00 90.00°
Element x y z (fractional)
1 Rh 0.2500 0.2500 0.2500
2 Rh 0.2500 0.2500 0.7500
3 Rh 0.2500 0.7500 0.2500
4 Rh 0.2500 0.7500 0.7500
5 Rh 0.7500 0.2500 0.2500
6 Rh 0.7500 0.2500 0.7500
7 Rh 0.7500 0.7500 0.2500
8 Rh 0.7500 0.7500 0.7500
9 Br 0.0000 0.0000 0.0000
10 Br 0.0000 0.5000 0.5000
11 Br 0.5000 0.0000 0.5000
12 Br 0.5000 0.5000 0.0000
13 F 0.0000 0.0000 0.5000
14 F 0.0000 0.5000 0.0000
15 F 0.5000 0.0000 0.0000
16 F 0.5000 0.5000 0.5000

No. 8
Crystalline RhBrF3 at its relaxed geometry. Source: the Alexandria database, functional GGA-PBE.

Values from the calculation:
Polymorph energy (0 for the lowest one) (meV per atom): 27
Spin magnetization (μB per atom): 0.197
Space-group type: P2_1, No. 4
Total energy (eV/cell): -40.12
Formation energy (no corrections) (eV per formula unit): -5.422
Density (g/cm3): 4.55
Crystal system: monoclinic

Cell: 5.5618 4.9746 6.3228 Å, 90.00 90.12 90.00°
Element x y z (fractional)
1 Rh 0.2500 0.0000 0.0115
2 Rh 0.7500 0.5000 0.9885
3 Br 0.2508 0.7872 0.3508
4 Br 0.7492 0.2872 0.6492
5 F 0.0027 0.7552 0.8777
6 F 0.2492 0.1948 0.7434
7 F 0.4969 0.7554 0.8778
8 F 0.5031 0.2554 0.1222
9 F 0.7508 0.6948 0.2566
10 F 0.9973 0.2552 0.1223

No. 9
Crystalline RhBrF3 at its relaxed geometry. Source: the Alexandria database, functional GGA-PBE.

Values from the calculation:
Polymorph energy (0 for the lowest one) (meV per atom): 0
Spin magnetization (μB per atom): 0.000
Space-group type: P-1, No. 2
Total energy (eV/cell): -40.39
Formation energy (no corrections) (eV per formula unit): -5.557
Density (g/cm3): 3.67
Crystal system: triclinic

Cell: 4.0065 6.2319 8.7890 Å, 97.33 95.01 90.02°
Element x y z (fractional)
1 Rh 0.0004 0.2504 0.0008
2 Rh 0.9996 0.7496 0.9992
3 Br 0.4973 0.6810 0.5467
4 Br 0.5027 0.3190 0.4533
5 F 0.0282 0.0237 0.1493
6 F 0.0277 0.5299 0.1489
7 F 0.4932 0.7451 0.9659
8 F 0.5068 0.2549 0.0341
9 F 0.9723 0.4701 0.8511
10 F 0.9718 0.9763 0.8507

No. 10
Crystalline Rh2BrF at its relaxed geometry. Source: the Alexandria database, functional GGA-PBE.

Values from the calculation:
Polymorph energy (0 for the lowest one) (meV per atom): 39
Spin magnetization (μB per atom): 0.209
Space-group type: I-42d, No. 122
Total energy (eV/cell): -69.72
Formation energy (no corrections) (eV per formula unit): 0.818
Density (g/cm3): 8.12
Crystal system: tetragonal

Cell: 6.5505 6.5505 5.8073 Å, 90.00 90.00 90.00°
Element x y z (fractional)
1 Rh 0.2356 0.2500 0.1250
2 Rh 0.2500 0.7356 0.3750
3 Rh 0.2500 0.7644 0.8750
4 Rh 0.2644 0.2500 0.6250
5 Rh 0.7356 0.7500 0.6250
6 Rh 0.7500 0.2356 0.8750
7 Rh 0.7500 0.2644 0.3750
8 Rh 0.7644 0.7500 0.1250
9 Br 0.0000 0.0000 0.5000
10 Br 0.0000 0.5000 0.7500
11 Br 0.5000 0.0000 0.2500
12 Br 0.5000 0.5000 0.0000
13 F 0.0000 0.0000 0.0000
14 F 0.0000 0.5000 0.2500
15 F 0.5000 0.0000 0.7500
16 F 0.5000 0.5000 0.5000

No. 11
Crystalline SbRhBrF2 at its relaxed geometry. Source: the Alexandria database, functional GGA-PBE.

Values from the calculation:
Spin magnetization (μB per atom): 0.111
Space-group type: P4/mmm, No. 123
Total energy (eV/cell): -16.52
Formation energy (no corrections) (eV per formula unit): 0.371
Density (g/cm3): 5.47
Crystal system: tetragonal

Cell: 4.1162 4.1162 6.1413 Å, 90.00 90.00 90.00°
Element x y z (fractional)
1 Sb 0.0000 0.0000 0.0000
2 Rh 0.5000 0.5000 0.0000
3 Br 0.0000 0.0000 0.5000
4 F 0.0000 0.5000 0.5000
5 F 0.5000 0.0000 0.5000

No. 12
Crystalline TeRhBrF2 at its relaxed geometry. Source: the Alexandria database, functional GGA-PBE.

Values from the calculation:
Spin magnetization (μB per atom): 0.000
Space-group type: P4/mmm, No. 123
Total energy (eV/cell): -19.91
Formation energy (no corrections) (eV per formula unit): -4.003
Density (g/cm3): 6.18
Crystal system: tetragonal

Cell: 4.2448 4.2448 5.1926 Å, 90.00 90.00 90.00°
Element x y z (fractional)
1 Te 0.0000 0.0000 0.0000
2 Rh 0.0000 0.0000 0.5000
3 Br 0.5000 0.5000 0.5000
4 F 0.0000 0.5000 0.0000
5 F 0.5000 0.0000 0.0000

No. 13
Crystalline Ru2BrF at its relaxed geometry. Source: the Alexandria database, functional GGA-PBE.

Values from the calculation:
Polymorph energy (0 for the lowest one) (meV per atom): 244
Spin magnetization (μB per atom): 0.000
Space-group type: I-42d, No. 122
Total energy (eV/cell): -75.65
Formation energy (no corrections) (eV per formula unit): 3.184
Density (g/cm3): 7.01
Crystal system: tetragonal

Cell: 5.8657 5.8657 8.2920 Å, 90.00 90.00 90.00°
Element x y z (fractional)
1 Ru 0.2467 0.2500 0.1250
2 Ru 0.2500 0.7467 0.3750
3 Ru 0.2500 0.7533 0.8750
4 Ru 0.2533 0.2500 0.6250
5 Ru 0.7467 0.7500 0.6250
6 Ru 0.7500 0.2467 0.8750
7 Ru 0.7500 0.2533 0.3750
8 Ru 0.7533 0.7500 0.1250
9 Br 0.0000 0.0000 0.5000
10 Br 0.0000 0.5000 0.7500
11 Br 0.5000 0.0000 0.2500
12 Br 0.5000 0.5000 0.0000
13 F 0.0000 0.0000 0.0000
14 F 0.0000 0.5000 0.2500
15 F 0.5000 0.0000 0.7500
16 F 0.5000 0.5000 0.5000

No. 14
Crystalline RuBr2F8 at its relaxed geometry. Source: the Alexandria database, functional GGA-PBE.

Values from the calculation:
Spin magnetization (μB per atom): 0.257
Space-group type: P-1, No. 2
Total energy (eV/cell): -41.05
Formation energy (no corrections) (eV per formula unit): -13.457
Density (g/cm3): 3.45
Crystal system: triclinic

Cell: 5.9504 5.9743 6.2813 Å, 94.45 116.45 90.91°
Element x y z (fractional)
1 Ru 0.0000 0.0000 0.0000
2 Br 0.2523 0.4782 0.5055
3 Br 0.7477 0.5218 0.4945
4 F 0.0792 0.3123 0.1392
5 F 0.1112 0.0680 0.7739
6 F 0.3253 0.9246 0.2110
7 F 0.3908 0.6279 0.7973
8 F 0.6092 0.3721 0.2027
9 F 0.6747 0.0754 0.7890
10 F 0.8888 0.9320 0.2261
11 F 0.9208 0.6877 0.8608

No. 15
Crystalline Ru2BrF at its relaxed geometry. Source: the Alexandria database, functional GGA-PBE.

Values from the calculation:
Polymorph energy (0 for the lowest one) (meV per atom): 0
Spin magnetization (μB per atom): 0.000
Space-group type: Fm-3m, No. 225
Total energy (eV/cell): -79.55
Formation energy (no corrections) (eV per formula unit): 2.208
Density (g/cm3): 9.15
Crystal system: cubic

Cell: 6.0237 6.0237 6.0237 Å, 90.00 90.00 90.00°
Element x y z (fractional)
1 Ru 0.2500 0.2500 0.2500
2 Ru 0.2500 0.2500 0.7500
3 Ru 0.2500 0.7500 0.2500
4 Ru 0.2500 0.7500 0.7500
5 Ru 0.7500 0.2500 0.2500
6 Ru 0.7500 0.2500 0.7500
7 Ru 0.7500 0.7500 0.2500
8 Ru 0.7500 0.7500 0.7500
9 Br 0.0000 0.0000 0.0000
10 Br 0.0000 0.5000 0.5000
11 Br 0.5000 0.0000 0.5000
12 Br 0.5000 0.5000 0.0000
13 F 0.0000 0.0000 0.5000
14 F 0.0000 0.5000 0.0000
15 F 0.5000 0.0000 0.0000
16 F 0.5000 0.5000 0.5000

No. 16
Crystalline RuBr2F at its relaxed geometry. Source: the Alexandria database, functional GGA-PBE.

Values from the calculation:
Polymorph energy (0 for the lowest one) (meV per atom): 955
Spin magnetization (μB per atom): 0.000
Space-group type: R-3m, No. 166
Total energy (eV/cell): -39.95
Formation energy (no corrections) (eV per formula unit): 1.175
Density (g/cm3): 6.51
Crystal system: trigonal

Cell: 3.0552 3.0552 26.5039 Å, 90.00 90.00 120.00°
Element x y z (fractional)
1 Ru 0.0000 0.0000 0.0000
2 Ru 0.3333 0.6667 0.6667
3 Ru 0.6667 0.3333 0.3333
4 Br 0.0000 0.0000 0.0889
5 Br 0.0000 0.0000 0.9111
6 Br 0.3333 0.6667 0.5778
7 Br 0.3333 0.6667 0.7555
8 Br 0.6667 0.3333 0.2445
9 Br 0.6667 0.3333 0.4222
10 F 0.0000 0.0000 0.5000
11 F 0.3333 0.6667 0.1667
12 F 0.6667 0.3333 0.8333

No. 17
Crystalline RuBrF3 at its relaxed geometry. Source: the Alexandria database, functional GGA-PBE.

Values from the calculation:
Polymorph energy (0 for the lowest one) (meV per atom): 1647
Spin magnetization (μB per atom): 0.655
Space-group type: Pm-3m, No. 221
Total energy (eV/cell): -14.89
Formation energy (no corrections) (eV per formula unit): 1.677
Density (g/cm3): 4.23
Crystal system: cubic

Cell: 4.5382 4.5382 4.5382 Å, 90.00 90.00 90.00°
Element x y z (fractional)
1 Ru 0.0000 0.0000 0.0000
2 Br 0.5000 0.5000 0.5000
3 F 0.0000 0.5000 0.5000
4 F 0.5000 0.0000 0.5000
5 F 0.5000 0.5000 0.0000

No. 18
Crystalline RuBr2F at its relaxed geometry. Source: the Alexandria database, functional GGA-PBE.

Values from the calculation:
Polymorph energy (0 for the lowest one) (meV per atom): 0
Spin magnetization (μB per atom): 0.253
Space-group type: Immm, No. 71
Total energy (eV/cell): -34.28
Formation energy (no corrections) (eV per formula unit): -2.645
Density (g/cm3): 4.62
Crystal system: orthorhombic

Cell: 3.7239 4.0544 13.3144 Å, 90.00 90.00 90.00°
Element x y z (fractional)
1 Ru 0.0000 0.0000 0.0000
2 Ru 0.5000 0.5000 0.5000
3 Br 0.0000 0.5000 0.3733
4 Br 0.0000 0.5000 0.6267
5 Br 0.5000 0.0000 0.1267
6 Br 0.5000 0.0000 0.8733
7 F 0.0000 0.5000 0.0000
8 F 0.5000 0.0000 0.5000

No. 19
Crystalline RuBrF4 at its relaxed geometry. Source: the Alexandria database, functional GGA-PBE.

Values from the calculation:
Spin magnetization (μB per atom): 0.322
Space-group type: P1, No. 1
Total energy (eV/cell): -53.27
Formation energy (no corrections) (eV per formula unit): -8.199
Density (g/cm3): 3.31
Crystal system: triclinic

Cell: 4.9091 5.5445 9.8371 Å, 105.40 90.19 90.00°
Element x y z (fractional)
1 Ru 0.0000 0.0000 0.0000
2 Ru 0.5000 0.4990 0.9981
3 Br 0.1296 0.7539 0.4617
4 Br 0.6300 0.7846 0.5361
5 F 0.1339 0.8720 0.8174
6 F 0.1640 0.7075 0.0580
7 F 0.3377 0.2080 0.0581
8 F 0.3649 0.3715 0.8153
9 F 0.6368 0.6268 0.1807
10 F 0.6631 0.7915 0.9402
11 F 0.8369 0.2910 0.9400
12 F 0.8674 0.1275 0.1828

No. 20
Crystalline RuBr3F at its relaxed geometry. Source: the Alexandria database, functional GGA-PBE.

Values from the calculation:
Polymorph energy (0 for the lowest one) (meV per atom): 1458
Spin magnetization (μB per atom): 0.768
Space-group type: Pm-3m, No. 221
Total energy (eV/cell): -11.59
Formation energy (no corrections) (eV per formula unit): 4.579
Density (g/cm3): 5.03
Crystal system: cubic

Cell: 4.9162 4.9162 4.9162 Å, 90.00 90.00 90.00°
Element x y z (fractional)
1 Ru 0.0000 0.0000 0.0000
2 Br 0.0000 0.5000 0.5000
3 Br 0.5000 0.0000 0.5000
4 Br 0.5000 0.5000 0.0000
5 F 0.5000 0.5000 0.5000